(1)
VASP calculation (GGA-PBE) on BaAsIr2 after structural relaxation.

a b c (Å): 4.456 4.456 4.117
angles (deg): 90.00 90.00 90.00
Space group P4/mmm (No. 123)
Inequivalent atoms, fractional coordinates:
Ba1 0.000 0.000 0.000 [1 per cell]
As1 0.500 0.500 0.000 [1 per cell]
Ir1 0.000 0.500 0.500 [2 per cell]

Properties
ΔH_f (0 K) ... 0.576 eV per atom

***

(2)
VASP calculation (GGA-PBE) on Y2ScBePb after structural relaxation.

a b c (Å): 5.161 5.161 4.924
angles (deg): 90.00 90.00 90.00
Space group P4/mmm (No. 123)
Inequivalent atoms, fractional coordinates:
Y1 0.000 0.500 0.000 [2 per cell]
Sc1 0.000 0.000 0.500 [1 per cell]
Be1 0.000 0.000 0.000 [1 per cell]
Pb1 0.500 0.500 0.500 [1 per cell]

Properties
ΔH_f (0 K) ... -0.081 eV per atom

***

(3)
VASP calculation (GGA-PBE) on Ca2Mg5Tl3Pb2 after structural relaxation.

a b c (Å): 4.519 4.519 33.695
angles (deg): 90.00 90.00 90.00
Space group I4/mmm (No. 139)
Inequivalent atoms, fractional coordinates:
Ca1 0.000 0.000 0.219 [4 per cell]
Mg1 0.000 0.000 0.000 [2 per cell]
Mg2 0.000 0.500 0.067 [8 per cell]
Tl1 0.000 0.000 0.331 [4 per cell]
Tl2 0.000 0.000 0.500 [2 per cell]
Pb1 0.000 0.000 0.126 [4 per cell]

Properties
ΔH_f (0 K) ... -0.048 eV per atom

***

(4)
VASP calculation (GGA-PBE) on Ba2CdSn7 after structural relaxation.

a b c (Å): 5.120 5.120 12.677
angles (deg): 90.00 90.00 90.00
Space group P-4m2 (No. 115)
Inequivalent atoms, fractional coordinates:
Ba1 0.000 0.500 0.247 [2 per cell]
Cd1 0.500 0.500 0.000 [1 per cell]
Sn1 0.000 0.000 0.000 [1 per cell]
Sn2 0.000 0.000 0.500 [1 per cell]
Sn3 0.000 0.500 0.634 [2 per cell]
Sn4 0.000 0.500 0.870 [2 per cell]
Sn5 0.500 0.500 0.500 [1 per cell]

Properties
ΔH_f (0 K) ... -0.314 eV per atom

***

(5)
VASP calculation (GGA-PBE) on MgReAu2 after structural relaxation.

a b c (Å): 2.8931 2.8931 27.8524
angles (deg): 90.00 90.00 120.00
Space group R-3m (No. 166, hexagonal axes)
Inequivalent atoms, fractional coordinates:
Mg1 0.0000 0.0000 0.0000 [3 per cell]
Re1 0.0000 0.0000 0.5000 [3 per cell]
Au1 0.0000 0.0000 0.2503 [6 per cell]

Properties
ΔH_f (0 K) ... 0.178 eV per atom

***

(6)
VASP calculation (GGA-PBE) on RbHfOs2S after structural relaxation.

a b c (Å): 4.545 4.545 4.860
angles (deg): 90.00 90.00 90.00
Space group P4/mmm (No. 123)
Inequivalent atoms, fractional coordinates:
Rb1 0.000 0.000 0.000 [1 per cell]
Hf1 0.500 0.500 0.000 [1 per cell]
Os1 0.000 0.500 0.500 [2 per cell]
S1 0.500 0.500 0.500 [1 per cell]

Properties
Formation energy without anion corrections ... 1.057 eV per atom

***

(7)
VASP calculation (GGA-PBE) on SrMn2Be2 after structural relaxation.

a b c (Å): 7.383 7.383 2.574
angles (deg): 90.00 90.00 90.00
Space group P4/mbm (No. 127)
Inequivalent atoms, fractional coordinates:
Sr1 0.000 0.000 0.000 [2 per cell]
Mn1 0.099 0.401 0.500 [4 per cell]
Be1 0.169 0.669 0.000 [4 per cell]

Properties
ΔH_f (0 K) ... 0.600 eV per atom
Energy relative to the lowest polymorph listed for this composition ... 119 meV/atom

***

(8)
VASP calculation (GGA-PBE) on HgPdAu after structural relaxation.

a b c (Å): 3.461 3.461 9.121
angles (deg): 90.00 90.00 90.00
Space group I4mm (No. 107)
Inequivalent atoms, fractional coordinates:
Hg1 0.000 0.000 0.000 [2 per cell]
Pd1 0.000 0.000 0.337 [2 per cell]
Au1 0.000 0.000 0.674 [2 per cell]

Properties
ΔH_f (0 K) ... -0.054 eV per atom
Energy relative to the lowest polymorph listed for this composition ... 12 meV/atom

***

(9)
VASP calculation (GGA-PBE) on Sr3TlO after structural relaxation.

a b c (Å): 16.767 4.225 10.563
angles (deg): 90.00 92.02 90.00
Space group C2/m (No. 12)
Inequivalent atoms, fractional coordinates:
Sr1 0.019 0.000 0.302 [4 per cell]
Sr2 0.164 0.500 0.965 [4 per cell]
Sr3 0.238 0.000 0.677 [4 per cell]
Tl1 0.102 0.500 0.527 [4 per cell]
O1 0.220 0.000 0.892 [4 per cell]

Properties
Formation energy without anion corrections ... -1.204 eV per atom

***

(10)
VASP calculation (GGA-PBE) on YScZn2Pd4 after structural relaxation.

a b c (Å): 4.5233 4.5233 23.4468
angles (deg): 90.00 90.00 120.00
Space group R-3m (No. 166, hexagonal axes)
Inequivalent atoms, fractional coordinates:
Y1 0.0000 0.0000 0.0000 [3 per cell]
Sc1 0.0000 0.0000 0.5000 [3 per cell]
Zn1 0.0000 0.0000 0.2461 [6 per cell]
Pd1 0.0000 0.0000 0.1266 [6 per cell]
Pd2 0.0000 0.0000 0.3860 [6 per cell]

Properties
ΔH_f (0 K) ... -0.746 eV per atom

***

(11)
VASP calculation (GGA-PBE) on BaIn2Ni after structural relaxation.

a b c (Å): 4.494 4.494 5.426
angles (deg): 90.00 90.00 90.00
Space group P4/mmm (No. 123)
Inequivalent atoms, fractional coordinates:
Ba1 0.000 0.000 0.000 [1 per cell]
In1 0.000 0.500 0.500 [2 per cell]
Ni1 0.500 0.500 0.000 [1 per cell]

Properties
ΔH_f (0 K) ... 0.112 eV per atom

***

(12)
VASP calculation (GGA-PBE) on Li2Er2Mg5Sc after structural relaxation.

a b c (Å): 10.495 10.495 4.243
angles (deg): 90.00 90.00 90.00
Space group P4/mbm (No. 127)
Inequivalent atoms, fractional coordinates:
Li1 0.117 0.383 0.000 [4 per cell]
Er1 0.180 0.680 0.000 [4 per cell]
Mg1 0.000 0.500 0.500 [2 per cell]
Mg2 0.059 0.209 0.500 [8 per cell]
Sc1 0.000 0.000 0.000 [2 per cell]

Properties
ΔH_f (0 K) ... -0.003 eV per atom